1.
Computed, not measured: a geometry-optimized CaIn3Pd2 structure at the PBE level of DFT.

```
CaIn3Pd2
1.0
3.331 1.923 6.865
-3.331 1.923 6.865
0.000 -3.846 6.865
Ca In Pd
2 6 4
Cartesian
0.000 0.000 4.684 Ca
0.000 0.000 15.910 Ca
-1.633 -0.943 11.690 In
0.000 -1.886 8.904 In
-1.633 0.943 8.904 In
1.633 -0.943 11.690 In
0.000 1.886 11.690 In
1.633 0.943 8.904 In
0.000 0.000 0.000 Pd
-1.666 -0.962 6.865 Pd
-1.666 0.962 13.729 Pd
0.000 1.923 6.865 Pd
```

Calculated values
The density of states at the Fermi level comes out at 0.56 states/eV per atom. Its space-group type is R-3m, No. 166. The value obtained for the calculated volume is 21.99 Å³/atom. For the calculated total energy, the calculation gives -3.82 eV per atom. The density is 7.519 g cm⁻³.


2.
Computed, not measured: a geometry-optimized Ca2In2Pd structure at the PBE level of DFT.

```
Ca2In2Pd
1.0
7.601 0.000 0.000
0.000 7.601 0.000
0.000 0.000 4.988
Ca In Pd
4 4 2
Cartesian
1.246 2.554 0.000 Ca
2.554 6.355 0.000 Ca
5.047 1.246 0.000 Ca
6.355 5.047 0.000 Ca
1.115 4.916 2.494 In
2.686 1.115 2.494 In
4.916 6.486 2.494 In
6.486 2.686 2.494 In
0.000 0.000 0.000 Pd
3.801 3.801 0.000 Pd
```

Calculated values
The density of states at the Fermi level comes out at 0.71 states/eV per atom. Its space-group type is P4/mbm, No. 127. The value obtained for the calculated volume is 28.82 Å³/atom. For the calculated total energy, the calculation gives -3.10 eV per atom. The density is 4.796 g cm⁻³.


3.
Computed, not measured: a geometry-optimized CaIn3Pd2 structure at the PBE level of DFT.

```
CaIn3Pd2
1.0
9.031 -2.216 0.000
9.031 2.216 0.000
-3.751 0.000 10.330
Ca In Pd
3 9 6
Cartesian
0.000 0.000 0.000 Ca
0.262 0.000 7.278 Ca
14.049 0.000 3.052 Ca
-0.588 0.000 3.548 In
2.446 0.000 4.049 In
5.711 0.000 0.418 In
3.781 0.000 8.365 In
7.155 0.000 5.165 In
10.530 0.000 1.964 In
8.600 0.000 9.911 In
11.865 0.000 6.281 In
14.899 0.000 6.782 In
3.139 0.000 1.381 Pd
4.532 0.000 5.695 Pd
7.721 0.000 2.214 Pd
6.590 0.000 8.115 Pd
9.779 0.000 4.635 Pd
11.172 0.000 8.948 Pd
```

Calculated values
The density of states at the Fermi level comes out at 0.37 states/eV per atom. Its space-group type is C2/m, No. 12. The value obtained for the calculated volume is 22.97 Å³/atom. For the calculated total energy, the calculation gives -3.94 eV per atom. The density is 7.198 g cm⁻³.


4.
Computed, not measured: a geometry-optimized Ca5InPd4 structure at the PBE level of DFT.

```
Ca5InPd4
1.0
3.601 0.000 0.000
0.000 3.601 0.000
0.000 0.000 17.971
Ca In Pd
5 1 4
Cartesian
0.000 0.000 0.000 Ca
0.000 0.000 3.400 Ca
0.000 0.000 6.810 Ca
0.000 0.000 11.161 Ca
0.000 0.000 14.571 Ca
1.800 1.800 8.985 In
1.800 1.800 1.711 Pd
1.800 1.800 5.127 Pd
1.800 1.800 12.844 Pd
1.800 1.800 16.259 Pd
```

Calculated values
The density of states at the Fermi level comes out at 0.43 states/eV per atom. Its space-group type is P4/mmm, No. 123. The value obtained for the calculated volume is 23.30 Å³/atom. For the calculated total energy, the calculation gives -3.97 eV per atom. The density is 5.280 g cm⁻³.


5.
Computed, not measured: a geometry-optimized Ca12InPd5 structure at the PBE level of DFT.

```
Ca12InPd5
1.0
-4.830 4.850 5.525
4.830 -4.850 5.525
4.830 4.850 -5.525
Ca In Pd
12 1 5
Cartesian
4.830 3.011 -2.907 Ca
2.758 1.722 0.000 Ca
6.902 1.722 0.000 Ca
1.804 4.850 -1.802 Ca
3.026 0.000 3.723 Ca
0.000 1.839 2.618 Ca
4.830 3.011 2.907 Ca
1.804 4.850 1.802 Ca
3.026 0.000 7.327 Ca
-2.072 3.128 5.525 Ca
2.072 3.128 5.525 Ca
0.000 1.839 8.432 Ca
0.000 0.000 5.525 In
0.000 0.000 0.000 Pd
4.830 0.000 1.430 Pd
0.000 3.137 0.000 Pd
0.000 6.563 0.000 Pd
0.000 4.850 4.095 Pd
```

Calculated values
The density of states at the Fermi level comes out at 0.82 states/eV per atom. Its space-group type is Immm, No. 71. The value obtained for the calculated volume is 28.76 Å³/atom. For the calculated total energy, the calculation gives -3.42 eV per atom. The density is 3.618 g cm⁻³.


6.
Computed, not measured: a geometry-optimized Ca3In2Pd4 structure at the PBE level of DFT.

```
Ca3In2Pd4
1.0
5.108 -2.290 0.000
5.108 2.290 0.000
-0.957 0.000 8.857
Ca In Pd
3 2 4
Cartesian
0.000 0.000 0.000 Ca
3.229 0.000 5.401 Ca
6.029 0.000 3.456 Ca
3.052 0.000 1.982 In
6.206 0.000 6.875 In
0.249 0.000 5.616 Pd
1.947 0.000 8.082 Pd
7.311 0.000 0.775 Pd
9.009 0.000 3.242 Pd
```

Calculated values
The density of states at the Fermi level comes out at 0.48 states/eV per atom. Its space-group type is C2/m, No. 12. The value obtained for the calculated volume is 23.03 Å³/atom. For the calculated total energy, the calculation gives -4.26 eV per atom. The density is 6.215 g cm⁻³.


7.
Computed, not measured: a geometry-optimized CaInPd6 structure at the PBE level of DFT.

```
CaInPd6
1.0
5.197 0.000 0.000
0.000 5.197 0.000
0.000 0.000 5.197
Ca In Pd
1 1 6
Cartesian
0.000 0.000 0.000 Ca
2.599 2.599 2.599 In
0.000 1.311 2.599 Pd
0.000 3.887 2.599 Pd
1.311 2.599 0.000 Pd
2.599 0.000 1.311 Pd
2.599 0.000 3.887 Pd
3.887 2.599 0.000 Pd
```

Calculated values
The density of states at the Fermi level comes out at 0.75 states/eV per atom. Its space-group type is Pm-3, No. 200. The value obtained for the calculated volume is 17.55 Å³/atom. For the calculated total energy, the calculation gives -4.78 eV per atom. The density is 9.384 g cm⁻³.


8.
Computed, not measured: a geometry-optimized CaInPd structure at the PBE level of DFT.

```
CaInPd
1.0
7.462 0.000 0.000
0.000 4.315 0.000
-0.093 0.000 12.963
Ca In Pd
6 6 6
Cartesian
0.226 1.079 1.588 Ca
1.090 1.079 5.438 Ca
3.384 3.236 10.223 Ca
3.984 1.079 2.739 Ca
6.279 3.236 7.525 Ca
7.142 3.236 11.375 Ca
0.908 1.079 9.141 In
2.604 3.236 0.574 In
3.615 3.236 5.337 In
3.754 1.079 7.625 In
4.765 1.079 12.388 In
6.461 3.236 3.822 In
1.774 3.236 3.245 Pd
1.916 3.236 7.638 Pd
1.907 1.079 11.866 Pd
5.462 3.236 1.097 Pd
5.452 1.079 5.325 Pd
5.594 1.079 9.718 Pd
```

Calculated values
The density of states at the Fermi level comes out at 0.50 states/eV per atom. Its space-group type is P2_1/m, No. 11. The value obtained for the calculated volume is 23.18 Å³/atom. For the calculated total energy, the calculation gives -4.00 eV per atom. The density is 6.239 g cm⁻³.


9.
Computed, not measured: a geometry-optimized CaInPd structure at the PBE level of DFT.

```
CaInPd
1.0
0.000 3.370 3.370
3.370 0.000 3.370
3.370 3.370 0.000
Ca In Pd
1 1 1
Cartesian
0.000 0.000 0.000 Ca
3.370 3.370 3.370 In
5.055 5.055 5.055 Pd
```

Calculated values
The density of states at the Fermi level comes out at 0.62 states/eV per atom. Its space-group type is F-43m, No. 216. The value obtained for the calculated volume is 25.52 Å³/atom. For the calculated total energy, the calculation gives -3.86 eV per atom. The density is 5.668 g cm⁻³.


10.
Computed, not measured: a geometry-optimized CaIn3Pd structure at the PBE level of DFT.

```
CaIn3Pd
1.0
9.081 0.000 0.000
0.000 4.460 0.000
0.000 0.000 11.965
Ca In Pd
4 12 4
Cartesian
1.777 1.115 0.020 Ca
2.763 3.345 6.002 Ca
6.318 1.115 5.963 Ca
7.303 3.345 11.946 Ca
0.516 1.115 7.030 In
0.842 3.345 9.637 In
1.369 3.345 2.510 In
3.171 1.115 8.492 In
3.698 1.115 3.654 In
4.024 3.345 1.048 In
5.056 1.115 10.917 In
5.382 3.345 8.311 In
5.910 3.345 3.473 In
7.711 1.115 9.455 In
8.239 1.115 2.329 In
8.565 3.345 4.935 In
1.079 1.115 4.297 Pd
3.462 3.345 10.279 Pd
5.619 1.115 1.686 Pd
8.002 3.345 7.668 Pd
```

Calculated values
The density of states at the Fermi level comes out at 0.44 states/eV per atom. Its space-group type is Pnma, No. 62. The value obtained for the calculated volume is 24.23 Å³/atom. For the calculated total energy, the calculation gives -3.55 eV per atom. The density is 6.729 g cm⁻³.


11.
Computed, not measured: a geometry-optimized Ca3In4Pd2 structure at the PBE level of DFT.

```
Ca3In4Pd2
1.0
5.665 -2.378 0.000
5.665 2.378 0.000
-2.798 0.000 8.540
Ca In Pd
3 4 2
Cartesian
0.000 0.000 0.000 Ca
2.639 0.000 5.346 Ca
5.893 0.000 3.195 Ca
-0.679 0.000 5.536 In
0.878 0.000 8.098 In
7.653 0.000 0.442 In
9.211 0.000 3.004 In
2.467 0.000 2.081 Pd
6.064 0.000 6.459 Pd
```

Calculated values
The density of states at the Fermi level comes out at 0.39 states/eV per atom. Its space-group type is C2/m, No. 12. The value obtained for the calculated volume is 25.56 Å³/atom. For the calculated total energy, the calculation gives -3.54 eV per atom. The density is 5.719 g cm⁻³.


12.
Computed, not measured: a geometry-optimized CaIn3Pd structure at the PBE level of DFT.

```
CaIn3Pd
1.0
5.194 0.000 0.000
0.000 5.194 0.000
0.000 0.000 5.194
Ca In Pd
1 3 1
Cartesian
0.000 0.000 0.000 Ca
0.000 2.597 2.597 In
2.597 0.000 2.597 In
2.597 2.597 0.000 In
2.597 2.597 2.597 Pd
```

Calculated values
The density of states at the Fermi level comes out at 0.59 states/eV per atom. Its space-group type is Pm-3m, No. 221. The value obtained for the calculated volume is 28.02 Å³/atom. For the calculated total energy, the calculation gives -3.32 eV per atom. The density is 5.818 g cm⁻³.


13.
Computed, not measured: a geometry-optimized CaIn3Pd structure at the PBE level of DFT.

```
CaIn3Pd
1.0
5.889 0.000 0.000
0.000 8.527 0.000
0.000 0.000 9.938
Ca In Pd
4 12 4
Cartesian
0.028 2.132 0.074 Ca
2.916 6.395 5.043 Ca
2.973 2.132 4.895 Ca
5.861 6.395 9.864 Ca
0.030 2.132 3.353 In
1.473 0.533 7.440 In
1.473 3.730 7.440 In
1.472 4.797 2.472 In
1.472 7.994 2.472 In
2.914 6.395 8.322 In
2.975 2.132 1.615 In
4.417 0.533 7.466 In
4.417 3.730 7.466 In
4.417 4.797 2.497 In
4.417 7.994 2.497 In
5.859 6.395 6.584 In
0.000 0.000 4.969 Pd
0.000 4.264 4.969 Pd
2.945 0.000 0.000 Pd
2.945 4.264 0.000 Pd
```

Calculated values
The density of states at the Fermi level comes out at 0.47 states/eV per atom. Its space-group type is Pnma, No. 62. The value obtained for the calculated volume is 24.95 Å³/atom. For the calculated total energy, the calculation gives -3.42 eV per atom. The density is 6.534 g cm⁻³.


14.
Computed, not measured: a geometry-optimized CaIn6Pd4 structure at the PBE level of DFT.

```
CaIn6Pd4
1.0
-3.517 3.517 5.048
3.517 -3.517 5.048
3.517 3.517 -5.048
Ca In Pd
1 6 4
Cartesian
0.000 0.000 0.000 Ca
3.517 0.000 0.000 In
2.289 2.289 -2.086 In
1.228 1.228 2.962 In
0.000 3.517 0.000 In
1.228 -1.228 7.135 In
-1.228 1.228 7.135 In
1.238 -1.238 4.298 Pd
2.279 2.279 0.750 Pd
-1.238 1.238 4.298 Pd
1.238 1.238 5.799 Pd
```

Calculated values
The density of states at the Fermi level comes out at 0.55 states/eV per atom. Its space-group type is I-42m, No. 121. The value obtained for the calculated volume is 22.71 Å³/atom. For the calculated total energy, the calculation gives -4.06 eV per atom. The density is 7.676 g cm⁻³.


15.
Computed, not measured: a geometry-optimized Ca3In9Pd2 structure at the PBE level of DFT.

```
Ca3In9Pd2
1.0
-2.361 5.429 6.650
2.361 -5.429 6.650
2.361 5.429 -6.650
Ca In Pd
3 9 2
Cartesian
0.000 0.000 0.000 Ca
0.000 0.000 3.986 Ca
0.000 0.000 9.315 Ca
2.361 -1.458 1.889 In
2.361 -2.315 4.833 In
2.361 1.458 1.889 In
0.000 3.114 1.817 In
0.000 5.429 0.000 In
2.361 2.315 4.833 In
0.000 3.970 4.762 In
0.000 7.744 1.817 In
0.000 6.887 4.762 In
2.361 3.640 0.000 Pd
0.000 1.788 6.650 Pd
```

Calculated values
The density of states at the Fermi level comes out at 0.41 states/eV per atom. Its space-group type is Immm, No. 71. The value obtained for the calculated volume is 24.36 Å³/atom. For the calculated total energy, the calculation gives -3.34 eV per atom. The density is 6.654 g cm⁻³.


16.
Computed, not measured: a geometry-optimized CaIn2Pd3 structure at the PBE level of DFT.

```
CaIn2Pd3
1.0
2.377 -7.110 0.000
2.377 7.110 0.000
0.000 0.000 6.792
Ca In Pd
2 4 6
Cartesian
2.377 4.802 0.000 Ca
2.377 -4.802 0.000 Ca
2.377 4.650 3.396 In
2.377 0.000 0.000 In
2.377 0.000 3.396 In
2.377 -4.650 3.396 In
0.000 0.000 1.894 Pd
0.000 0.000 4.899 Pd
2.377 2.266 1.826 Pd
2.377 2.266 4.967 Pd
2.377 -2.266 1.826 Pd
2.377 -2.266 4.967 Pd
```

Calculated values
The density of states at the Fermi level comes out at 0.40 states/eV per atom. Its space-group type is Cmmm, No. 65. The value obtained for the calculated volume is 19.13 Å³/atom. For the calculated total energy, the calculation gives -4.43 eV per atom. The density is 8.522 g cm⁻³.


17.
Computed, not measured: a geometry-optimized Ca2In2Pd structure at the PBE level of DFT.

```
Ca2In2Pd
1.0
7.292 0.000 0.000
0.000 7.292 0.000
0.000 0.000 4.981
Ca In Pd
4 4 2
Cartesian
1.250 2.396 0.000 Ca
2.396 6.042 0.000 Ca
4.897 1.250 0.000 Ca
6.042 4.897 0.000 Ca
1.029 4.675 2.490 In
2.617 1.029 2.490 In
4.675 6.264 2.490 In
6.264 2.617 2.490 In
0.000 0.000 2.490 Pd
3.646 3.646 2.490 Pd
```

Calculated values
The density of states at the Fermi level comes out at 0.91 states/eV per atom. Its space-group type is P4/mbm, No. 127. The value obtained for the calculated volume is 26.49 Å³/atom. For the calculated total energy, the calculation gives -3.37 eV per atom. The density is 5.219 g cm⁻³.


18.
Computed, not measured: a geometry-optimized Ca2In3Pd2 structure at the PBE level of DFT.

```
Ca2In3Pd2
1.0
5.248 -2.247 0.000
5.248 2.247 0.000
-3.018 0.000 6.938
Ca In Pd
2 3 2
Cartesian
0.673 0.000 1.959 Ca
6.806 0.000 4.978 Ca
3.696 0.000 0.353 In
3.739 0.000 3.469 In
3.783 0.000 6.585 In
-0.713 0.000 4.861 Pd
8.192 0.000 2.077 Pd
```

Calculated values
The density of states at the Fermi level comes out at 0.42 states/eV per atom. Its space-group type is C2/m, No. 12. The value obtained for the calculated volume is 23.38 Å³/atom. For the calculated total energy, the calculation gives -3.85 eV per atom. The density is 6.468 g cm⁻³.


19.
Computed, not measured: a geometry-optimized Ca8InPd2 structure at the PBE level of DFT.

```
Ca8InPd2
1.0
4.604 -6.806 0.000
4.604 6.806 0.000
-1.415 0.000 5.577
Ca In Pd
8 1 2
Cartesian
0.000 0.000 0.000 Ca
0.811 1.785 3.428 Ca
3.200 3.315 1.093 Ca
0.811 -1.785 3.428 Ca
4.174 1.785 4.335 Ca
3.200 -3.315 1.093 Ca
4.174 -1.785 4.335 Ca
6.402 0.000 2.187 Ca
3.202 0.000 1.088 In
2.493 4.304 3.882 Pd
2.493 -4.304 3.882 Pd
```

Calculated values
The density of states at the Fermi level comes out at 0.74 states/eV per atom. Its space-group type is Cm, No. 8. The value obtained for the calculated volume is 31.77 Å³/atom. For the calculated total energy, the calculation gives -3.02 eV per atom. The density is 3.080 g cm⁻³.


20.
Computed, not measured: a geometry-optimized Ca2In5Pd3 structure at the PBE level of DFT.

```
Ca2In5Pd3
1.0
2.275 -13.402 0.000
2.275 13.402 0.000
0.000 0.000 7.397
Ca In Pd
4 10 6
Cartesian
2.275 12.777 3.699 Ca
2.275 4.713 4.320 Ca
2.275 -4.713 0.621 Ca
2.275 -12.777 0.000 Ca
2.275 10.760 6.495 In
2.275 7.857 2.861 In
2.275 7.816 5.873 In
2.275 3.353 0.210 In
2.275 1.410 4.962 In
2.275 -1.410 1.263 In
2.275 -3.353 3.909 In
2.275 -7.816 2.174 In
2.275 -7.857 6.559 In
2.275 -10.760 2.796 In
2.275 10.449 1.923 Pd
2.275 6.128 0.695 Pd
2.275 1.241 2.105 Pd
2.275 -1.241 5.803 Pd
2.275 -6.128 4.394 Pd
2.275 -10.449 5.621 Pd
```

Calculated values
The density of states at the Fermi level comes out at 0.54 states/eV per atom. Its space-group type is Cmc2_1, No. 36. The value obtained for the calculated volume is 22.55 Å³/atom. For the calculated total energy, the calculation gives -3.90 eV per atom. The density is 7.168 g cm⁻³.